Entry w
Entry from Alexandria: crystalline Zr2CrSi at its relaxed geometry (PBE-GGA).

Structure (POSCAR):
```
Zr2CrSi
1.0
-1.969 1.969 4.659
1.969 -1.969 4.659
1.969 1.969 -4.659
Zr Cr Si
2 1 1
direct
0.000 0.000 0.000
0.750 0.250 0.500
0.250 0.750 0.500
0.500 0.500 0.000
```

Output
The volume comes out at 72.2 Å³/cell. As for the density of states at the Fermi level: 0.88 states/eV per atom. The symmetry is I-4m2.

Entry x
Entry from Alexandria: crystalline Zr2CrSi at its relaxed geometry (PBE-GGA).

Structure (POSCAR):
```
Zr2CrSi
1.0
0.000 3.254 3.254
3.254 0.000 3.254
3.254 3.254 0.000
Zr Cr Si
2 1 1
direct
0.000 0.000 0.000
0.250 0.250 0.250
0.500 0.500 0.500
0.750 0.750 0.750
```

Output
The volume comes out at 68.9 Å³/cell. As for the density of states at the Fermi level: 0.41 states/eV per atom. The symmetry is F-43m.

Entry y
Entry from Alexandria: crystalline Zr2CrSi at its relaxed geometry (PBE-GGA).

Structure (POSCAR):
```
Zr2CrSi
1.0
1.681 0.971 7.644
-1.681 0.971 7.644
0.000 -1.942 7.644
Zr Cr Si
2 1 1
direct
0.000 0.000 0.000
0.223 0.223 0.223
0.471 0.471 0.471
0.749 0.749 0.749
```

Output
The volume comes out at 74.9 Å³/cell. As for the density of states at the Fermi level: 0.87 states/eV per atom. The symmetry is R3m.

Among the structures above, stability is greatest for entry w.